The following is a DFT calculation (PBE) of crystalline Cu14Te3 at its relaxed geometry.

```
Cu14Te3
1.0
-5.8211 5.9988 -6.8250
1.0845 -1.4504 -2.1998
-18.5241 -17.8088 2.6091
Cu Te
28 6
Direct
0.7459 0.7500 0.2910
0.1456 0.2500 0.3108
0.5279 0.7500 0.3257
0.9170 0.2500 0.3387
0.3088 0.7500 0.3582
0.6950 0.2500 0.3700
0.0841 0.7500 0.3875
0.4763 0.2500 0.4035
0.8617 0.7500 0.4148
0.2497 0.2500 0.4325
0.6414 0.7500 0.4470
0.0270 0.2500 0.4622
0.4161 0.7500 0.4778
0.8070 0.2500 0.4914
0.1930 0.7500 0.5086
0.5839 0.2500 0.5222
0.9730 0.7500 0.5378
0.3586 0.2500 0.5530
0.7503 0.7500 0.5675
0.1383 0.2500 0.5852
0.5237 0.7500 0.5965
0.9159 0.2500 0.6125
0.3050 0.7500 0.6300
0.6912 0.2500 0.6418
0.0830 0.7500 0.6613
0.4721 0.2500 0.6743
0.8544 0.7500 0.6892
0.2541 0.2500 0.7090
0.6420 0.2500 0.2088
0.9780 0.7500 0.2491
0.3572 0.2500 0.2622
0.6428 0.7500 0.7378
0.0220 0.2500 0.7509
0.3580 0.7500 0.7912
```


The following is a DFT calculation (PBE) of crystalline Cu28Te5 at its relaxed geometry.

```
Cu28Te5
1.0
6.8402 0.0000 0.0000
-0.1515 8.7309 0.0000
-0.6069 -0.6785 17.1741
Cu Te
56 10
Direct
0.3005 0.6067 0.1728
0.2951 0.1038 0.1836
0.9400 0.0231 0.2086
0.9569 0.5278 0.2123
0.5898 0.4407 0.2317
0.5828 0.9402 0.2331
0.2271 0.8537 0.2558
0.2368 0.3628 0.2586
0.8790 0.2758 0.2799
0.8766 0.7771 0.2836
0.5164 0.6913 0.3013
0.5209 0.1945 0.3026
0.1667 0.1108 0.3249
0.1696 0.6127 0.3278
0.8116 0.0306 0.3502
0.8135 0.5300 0.3505
0.4544 0.9470 0.3717
0.4595 0.4487 0.3733
0.1002 0.3655 0.3951
0.1005 0.8669 0.3960
0.7449 0.2849 0.4192
0.7421 0.7849 0.4202
0.3897 0.2024 0.4408
0.3909 0.7037 0.4426
0.0344 0.1220 0.4656
0.0342 0.6225 0.4660
0.6769 0.0411 0.4882
0.6788 0.5414 0.4892
0.3212 0.4586 0.5108
0.3230 0.9589 0.5117
0.9658 0.3775 0.5340
0.9656 0.8780 0.5344
0.6090 0.2963 0.5574
0.6103 0.7976 0.5592
0.2579 0.2151 0.5797
0.2551 0.7151 0.5808
0.8995 0.1331 0.6040
0.8998 0.6345 0.6049
0.5405 0.5513 0.6267
0.5456 0.0530 0.6283
0.1865 0.4700 0.6495
0.1884 0.9694 0.6498
0.8304 0.3872 0.6722
0.8333 0.8892 0.6750
0.4791 0.8055 0.6974
0.4836 0.3087 0.6987
0.1235 0.2229 0.7164
0.1210 0.7242 0.7201
0.7632 0.6372 0.7414
0.7730 0.1463 0.7443
0.4172 0.0598 0.7669
0.4102 0.5593 0.7683
0.0431 0.4722 0.7877
0.0600 0.9769 0.7914
0.7049 0.8962 0.8164
0.6994 0.3933 0.8272
0.3105 0.5561 0.0115
0.1382 0.8629 0.1069
0.1106 0.3309 0.1129
0.6558 0.1849 0.1482
0.6760 0.6875 0.1523
0.3240 0.3125 0.8477
0.3442 0.8152 0.8518
0.8893 0.6691 0.8872
0.8618 0.1370 0.8931
0.6896 0.4439 0.9886
```


The following is a DFT calculation (PBE) of crystalline Cu7Te4 at its relaxed geometry.

```
Cu7Te4
1.0
8.3935 0.0000 0.0000
-4.1968 7.2690 0.0000
0.0000 0.0000 32.3328
Cu Te
42 24
Direct
0.1681 0.3361 0.1974
0.1681 0.8319 0.1974
0.6639 0.8319 0.1974
0.5116 0.0233 0.2044
0.5116 0.4884 0.2044
0.9767 0.4884 0.2044
0.6667 0.3333 0.2456
0.3333 0.6667 0.3104
0.4867 0.5133 0.3498
0.0266 0.5133 0.3498
0.4867 0.9734 0.3498
0.3454 0.1727 0.3724
0.8273 0.1727 0.3724
0.8273 0.6546 0.3724
0.1728 0.3457 0.4055
0.1728 0.8272 0.4055
0.6543 0.8272 0.4055
0.5149 0.0298 0.4276
0.5149 0.4851 0.4276
0.9702 0.4851 0.4276
0.6667 0.3333 0.4697
0.3333 0.6667 0.5303
0.0298 0.5149 0.5724
0.4851 0.5149 0.5724
0.4851 0.9702 0.5724
0.3457 0.1728 0.5945
0.8272 0.1728 0.5945
0.8272 0.6543 0.5945
0.1727 0.3454 0.6276
0.1727 0.8273 0.6276
0.6546 0.8273 0.6276
0.5133 0.0266 0.6502
0.9734 0.4867 0.6502
0.5133 0.4867 0.6502
0.6667 0.3333 0.6896
0.3333 0.6667 0.7544
0.0233 0.5116 0.7956
0.4884 0.5116 0.7956
0.4884 0.9767 0.7956
0.3361 0.1681 0.8026
0.8319 0.1681 0.8026
0.8319 0.6639 0.8026
0.3333 0.6667 0.2249
0.3103 0.1551 0.2269
0.8449 0.1551 0.2269
0.8449 0.6897 0.2269
0.1505 0.3010 0.3247
0.1505 0.8495 0.3247
0.6990 0.8495 0.3247
0.6667 0.3333 0.3295
0.3333 0.6667 0.4475
0.3020 0.1510 0.4533
0.8490 0.1510 0.4533
0.8490 0.6980 0.4533
0.1510 0.3020 0.5467
0.1510 0.8490 0.5467
0.6980 0.8490 0.5467
0.6667 0.3333 0.5525
0.3333 0.6667 0.6705
0.3010 0.1505 0.6753
0.8495 0.1505 0.6753
0.8495 0.6990 0.6753
0.1551 0.3103 0.7731
0.1551 0.8449 0.7731
0.6897 0.8449 0.7731
0.6667 0.3333 0.7751
```


The following is a DFT calculation (PBE) of crystalline Cu29Te5 at its relaxed geometry.

```
Cu29Te5
1.0
-0.7113 4.3839 5.1668
-8.4564 0.5411 -1.8868
-3.2345 -14.9756 11.7073
Cu Te
58 10
Direct
0.4448 0.8699 0.1624
0.3100 0.6141 0.2179
0.3021 0.1162 0.2192
0.9539 0.5439 0.2347
0.9524 0.0382 0.2408
0.5999 0.4498 0.2547
0.6043 0.9540 0.2709
0.2410 0.3703 0.2818
0.2442 0.8696 0.2839
0.8843 0.2883 0.2997
0.8869 0.7854 0.3027
0.5306 0.6992 0.3218
0.5305 0.2085 0.3238
0.1730 0.6191 0.3439
0.1739 0.1219 0.3453
0.8172 0.5351 0.3620
0.8232 0.0410 0.3682
0.4603 0.4548 0.3843
0.4594 0.9540 0.3871
0.1043 0.3718 0.4065
0.1040 0.8714 0.4075
0.7458 0.7869 0.4252
0.7495 0.2910 0.4275
0.3893 0.7046 0.4480
0.3940 0.2072 0.4490
0.0330 0.6224 0.4683
0.0390 0.1257 0.4710
0.6777 0.5415 0.4890
0.6784 0.0413 0.4897
0.3216 0.9587 0.5103
0.3223 0.4585 0.5110
0.9610 0.8743 0.5290
0.9670 0.3776 0.5317
0.6060 0.7928 0.5510
0.6107 0.2954 0.5520
0.2505 0.7090 0.5725
0.2542 0.2131 0.5748
0.8960 0.1286 0.5925
0.8957 0.6282 0.5935
0.5406 0.0460 0.6129
0.5397 0.5452 0.6157
0.1768 0.9590 0.6318
0.1828 0.4649 0.6380
0.8261 0.8781 0.6547
0.8270 0.3809 0.6561
0.4695 0.7915 0.6762
0.4694 0.3008 0.6782
0.1131 0.2146 0.6973
0.1157 0.7117 0.7003
0.7558 0.1304 0.7161
0.7590 0.6297 0.7182
0.3957 0.0460 0.7291
0.4001 0.5502 0.7453
0.0476 0.9618 0.7592
0.0461 0.4561 0.7653
0.6979 0.8838 0.7808
0.6900 0.3859 0.7821
0.5552 0.1301 0.8376
0.3307 0.4881 0.0475
0.6277 0.6166 0.1396
0.1001 0.3239 0.1536
0.0649 0.8143 0.1595
0.6480 0.1488 0.1702
0.3520 0.8512 0.8298
0.9351 0.1857 0.8405
0.8999 0.6761 0.8464
0.3723 0.3834 0.8604
0.6693 0.5119 0.9525
```


The following is a DFT calculation (PBE) of crystalline TlCuTe at its relaxed geometry.

```
TlCuTe
1.0
-0.3325 -3.4961 -2.6108
2.9307 -2.1187 2.4640
-6.1464 -2.9685 4.7580
Cu Te Tl
2 2 2
Direct
0.0000 0.0000 0.0000
0.5000 0.5000 0.0000
0.0000 0.5000 0.1887
0.5000 0.0000 0.8113
0.5000 0.0000 0.3501
0.0000 0.5000 0.6499
```


The following is a DFT calculation (PBE) of crystalline Tl2CuTe at its relaxed geometry.

```
Tl2CuTe
1.0
2.2494 -3.7294 3.1019
3.5329 1.4201 3.7540
-1.3179 -0.3264 5.1717
Cu Te Tl
1 1 2
Direct
0.2500 0.2500 0.2500
0.5000 0.5000 0.5000
0.0000 0.0000 0.0000
0.7500 0.7500 0.7500
```


The following is a DFT calculation (PBE) of crystalline TlCu3Te4W at its relaxed geometry.

```
TlCu3Te4W
1.0
6.4836 0.0000 0.0000
0.0000 6.4836 0.0000
0.0000 0.0000 6.4836
Cu Te Tl W
3 4 1 1
Direct
0.5000 0.5000 0.0000
0.5000 0.0000 0.5000
0.0000 0.5000 0.5000
0.2695 0.2695 0.2695
0.7305 0.7305 0.2695
0.7305 0.2695 0.7305
0.2695 0.7305 0.7305
0.0000 0.0000 0.0000
0.5000 0.5000 0.5000
```


The following is a DFT calculation (PBE) of crystalline Tm2CuTe3 at its relaxed geometry.

```
Tm2CuTe3
1.0
2.0363 -7.1051 0.0000
2.0363 7.1051 0.0000
0.0000 0.0000 10.9135
Cu Te Tm
2 6 4
Direct
0.5284 0.4716 0.2500
0.4716 0.5284 0.7500
0.6493 0.3507 0.0658
0.9009 0.0991 0.2500
0.6493 0.3507 0.4342
0.3507 0.6493 0.5658
0.0991 0.9009 0.7500
0.3507 0.6493 0.9342
0.0000 0.0000 0.0000
0.2268 0.7732 0.2500
0.0000 0.0000 0.5000
0.7732 0.2268 0.7500
```


The following is a DFT calculation (PBE) of crystalline Tm7Cu2Te2 at its relaxed geometry.

```
Tm7Cu2Te2
1.0
-0.4341 2.4898 8.8495
7.9877 1.1354 -4.4282
-8.5386 2.2638 2.5823
Cu Te Tm
2 2 7
Direct
0.5104 0.2469 0.2635
0.9834 0.2469 0.7365
0.0854 0.0854 0.0000
0.4821 0.9821 0.5000
0.7286 0.5847 0.1439
0.1263 0.9410 0.1852
0.1054 0.7360 0.3694
0.8205 0.3205 0.5000
0.3666 0.7360 0.6306
0.7558 0.9410 0.8148
0.4408 0.5847 0.8561
```


The following is a DFT calculation (PBE) of crystalline Tm3CuTe5 at its relaxed geometry.

```
Tm3CuTe5
1.0
-4.3749 2.7645 6.8758
0.3891 -8.4161 -1.7541
3.3492 -0.3158 2.2580
Cu Te Tm
1 5 3
Direct
0.0000 0.0000 0.0000
0.7100 0.0000 0.0000
0.2900 0.2900 0.0000
0.0000 0.7100 0.0000
0.6667 0.3333 0.5000
0.3333 0.6667 0.5000
0.2747 0.0000 0.5000
0.0000 0.2747 0.5000
0.7253 0.7253 0.5000
```


The following is a DFT calculation (PBE) of crystalline Tm5Cu2Te at its relaxed geometry.

```
Tm5Cu2Te
1.0
-4.3834 -6.6203 -2.6549
-6.9964 1.5884 4.3149
3.7502 5.5024 -5.0745
Cu Te Tm
4 2 10
Direct
0.8656 0.3656 0.2311
0.3656 0.1344 0.5000
0.6344 0.8656 0.5000
0.1344 0.6344 0.7689
0.2500 0.2500 0.0000
0.7500 0.7500 0.0000
0.0000 0.0000 0.0000
0.5000 0.5000 0.0000
0.2080 0.7080 0.1947
0.4867 0.9867 0.1947
0.0133 0.2080 0.5000
0.2920 0.4867 0.5000
0.7080 0.5133 0.5000
0.9867 0.7920 0.5000
0.5133 0.0133 0.8053
0.7920 0.2920 0.8053
```


The following is a DFT calculation (PBE) of crystalline Tm3CuTe5 at its relaxed geometry.

```
Tm3CuTe5
1.0
-8.1212 -1.1282 -2.3783
4.2910 -6.3862 3.6995
-1.1433 1.1715 3.3484
Cu Te Tm
1 5 3
Direct
0.0000 0.0000 0.0000
0.2435 0.0000 0.5000
0.0000 0.2435 0.5000
0.6667 0.3333 0.5000
0.3333 0.6667 0.5000
0.7565 0.7565 0.5000
0.6390 0.0000 0.0000
0.3610 0.3610 0.0000
0.0000 0.6390 0.0000
```


The following is a DFT calculation (PBE) of crystalline Tm2CuTe3 at its relaxed geometry.

```
Tm2CuTe3
1.0
10.8989 0.0000 0.0000
0.0000 4.0756 0.0000
0.0000 0.0000 14.2348
Cu Te Tm
4 12 8
Direct
0.7632 0.7500 0.2229
0.2632 0.7500 0.2771
0.7368 0.2500 0.7229
0.2368 0.2500 0.7771
0.5879 0.7500 0.0971
0.9560 0.7500 0.1039
0.2666 0.2500 0.1513
0.7666 0.2500 0.3487
0.4560 0.7500 0.3961
0.0879 0.7500 0.4029
0.9121 0.2500 0.5971
0.5440 0.2500 0.6039
0.2334 0.7500 0.6513
0.7334 0.7500 0.8487
0.0440 0.2500 0.8961
0.4121 0.2500 0.9029
0.7756 0.2500 0.0202
0.5191 0.2500 0.2460
0.0191 0.2500 0.2540
0.2756 0.2500 0.4798
0.7244 0.7500 0.5202
0.9809 0.7500 0.7460
0.4809 0.7500 0.7540
0.2244 0.7500 0.9798
```


The calculation returns the following energy values, one per record and in order: -0.260, -0.266, -0.258, -0.265, -0.236, -0.196, -0.303, -0.340, -0.342, -0.328, -0.337, -0.315, -0.340 Ry per atom.